P | Computed, not measured: a geometry-optimized PrSm6Dy structure at the PBE level of DFT.

Output
**M_tot**: 0.0 Bohr magnetons per cell

CIF file:
```
data_PrSm6Dy
_cell_length_a 5.127
_cell_length_b 5.127
_cell_length_c 10.259
_cell_angle_alpha 90.00
_cell_angle_beta 90.00
_cell_angle_gamma 90.00
_space_group_name_H-M_alt 'P 1'
_space_group_IT_number 1
loop_
_space_group_symop_operation_xyz
'x,y,z'
loop_
_atom_site_label
_atom_site_type_symbol
_atom_site_fract_x
_atom_site_fract_y
_atom_site_fract_z
Pr1 Pr 0.000 0.000 0.000
Sm1 Sm 0.000 0.500 0.253
Sm2 Sm 0.000 0.500 0.747
Sm3 Sm 0.500 0.000 0.253
Sm4 Sm 0.500 0.000 0.747
Sm5 Sm 0.500 0.500 0.000
Sm6 Sm 0.500 0.500 0.500
Dy1 Dy 0.000 0.000 0.500
```

=====

Q | Computed, not measured: a geometry-optimized PrSm6Dy structure at the PBE level of DFT.

Output
**M_tot**: 0.0 Bohr magnetons per cell

CIF file:
```
data_PrSm6Dy
_cell_length_a 5.873
_cell_length_b 5.873
_cell_length_c 9.191
_cell_angle_alpha 101.64
_cell_angle_beta 101.64
_cell_angle_gamma 74.58
_space_group_name_H-M_alt 'P 1'
_space_group_IT_number 1
loop_
_space_group_symop_operation_xyz
'x,y,z'
loop_
_atom_site_label
_atom_site_type_symbol
_atom_site_fract_x
_atom_site_fract_y
_atom_site_fract_z
Pr1 Pr 0.000 0.000 0.000
Sm1 Sm 0.028 0.549 0.204
Sm2 Sm 0.127 0.127 0.422
Sm3 Sm 0.451 0.972 0.796
Sm4 Sm 0.549 0.028 0.204
Sm5 Sm 0.873 0.873 0.578
Sm6 Sm 0.972 0.451 0.796
Dy1 Dy 0.500 0.500 0.500
```

=====

The winner here is P, beating the second structure by 352 meV per atom.

=====

P | Computed, not measured: a geometry-optimized Pr5Sm4Dy2 structure at the PBE level of DFT.

Output
**M_tot**: 0.0 Bohr magnetons per cell

CIF file:
```
data_Pr5Sm4Dy2
_cell_length_a 9.176
_cell_length_b 9.176
_cell_length_c 11.811
_cell_angle_alpha 93.90
_cell_angle_beta 93.90
_cell_angle_gamma 22.57
_space_group_name_H-M_alt 'P 1'
_space_group_IT_number 1
loop_
_space_group_symop_operation_xyz
'x,y,z'
loop_
_atom_site_label
_atom_site_type_symbol
_atom_site_fract_x
_atom_site_fract_y
_atom_site_fract_z
Pr1 Pr 0.000 0.000 0.000
Pr2 Pr 0.322 0.322 0.926
Pr3 Pr 0.403 0.403 0.462
Pr4 Pr 0.597 0.597 0.538
Pr5 Pr 0.678 0.678 0.074
Sm1 Sm 0.141 0.141 0.796
Sm2 Sm 0.463 0.463 0.738
Sm3 Sm 0.537 0.537 0.262
Sm4 Sm 0.859 0.859 0.204
Dy1 Dy 0.216 0.216 0.357
Dy2 Dy 0.784 0.784 0.643
```

=====

Q | Computed, not measured: a geometry-optimized Pr5Sm4Dy2 structure at the PBE level of DFT.

Output
**M_tot**: 0.0 Bohr magnetons per cell

CIF file:
```
data_Pr5Sm4Dy2
_cell_length_a 12.822
_cell_length_b 12.822
_cell_length_c 12.822
_cell_angle_alpha 164.07
_cell_angle_beta 136.91
_cell_angle_gamma 46.22
_space_group_name_H-M_alt 'P 1'
_space_group_IT_number 1
loop_
_space_group_symop_operation_xyz
'x,y,z'
loop_
_atom_site_label
_atom_site_type_symbol
_atom_site_fract_x
_atom_site_fract_y
_atom_site_fract_z
Pr1 Pr 0.000 0.000 0.000
Pr2 Pr 0.054 0.350 0.704
Pr3 Pr 0.354 0.650 0.704
Pr4 Pr 0.646 0.350 0.296
Pr5 Pr 0.946 0.650 0.296
Sm1 Sm 0.304 0.500 0.804
Sm2 Sm 0.404 0.904 0.500
Sm3 Sm 0.596 0.096 0.500
Sm4 Sm 0.696 0.500 0.196
Dy1 Dy 0.270 0.770 0.500
Dy2 Dy 0.730 0.230 0.500
```

=====

The winner here is P, beating the second structure by 136 meV per atom.

=====

P | Computed, not measured: a geometry-optimized PrSm5Dy5 structure at the PBE level of DFT.

Output
**M_tot**: 0.0 Bohr magnetons per cell

CIF file:
```
data_PrSm5Dy5
_cell_length_a 6.130
_cell_length_b 6.130
_cell_length_c 11.706
_cell_angle_alpha 90.00
_cell_angle_beta 90.00
_cell_angle_gamma 120.00
_space_group_name_H-M_alt 'P 1'
_space_group_IT_number 1
loop_
_space_group_symop_operation_xyz
'x,y,z'
loop_
_atom_site_label
_atom_site_type_symbol
_atom_site_fract_x
_atom_site_fract_y
_atom_site_fract_z
Pr1 Pr 0.000 0.000 0.000
Sm1 Sm 0.000 0.000 0.324
Sm2 Sm 0.000 0.000 0.676
Sm3 Sm 0.333 0.667 0.157
Sm4 Sm 0.333 0.667 0.843
Sm5 Sm 0.667 0.333 0.000
Dy1 Dy 0.001 0.500 0.500
Dy2 Dy 0.500 0.500 0.500
Dy3 Dy 0.500 0.999 0.500
Dy4 Dy 0.667 0.333 0.266
Dy5 Dy 0.667 0.333 0.734
```

=====

Q | Computed, not measured: a geometry-optimized PrSm5Dy5 structure at the PBE level of DFT.

Output
**M_tot**: 0.0 Bohr magnetons per cell

CIF file:
```
data_PrSm5Dy5
_cell_length_a 6.155
_cell_length_b 6.155
_cell_length_c 11.508
_cell_angle_alpha 90.00
_cell_angle_beta 90.00
_cell_angle_gamma 120.00
_space_group_name_H-M_alt 'P 1'
_space_group_IT_number 1
loop_
_space_group_symop_operation_xyz
'x,y,z'
loop_
_atom_site_label
_atom_site_type_symbol
_atom_site_fract_x
_atom_site_fract_y
_atom_site_fract_z
Pr1 Pr 0.000 0.000 0.000
Sm1 Sm 0.006 0.503 0.500
Sm2 Sm 0.497 0.503 0.500
Sm3 Sm 0.497 0.994 0.500
Sm4 Sm 0.667 0.333 0.264
Sm5 Sm 0.667 0.333 0.736
Dy1 Dy 0.000 0.000 0.329
Dy2 Dy 0.000 0.000 0.671
Dy3 Dy 0.333 0.667 0.160
Dy4 Dy 0.333 0.667 0.840
Dy5 Dy 0.667 0.333 0.000
```

=====

The winner here is P, beating the second structure by 23 meV per atom.